1.
Below is MgBe3Fe at its PBEsol-relaxed geometry, with properties calculated at the meta-GGA SCAN level.

Cell: 3.9794 3.9794 3.9794 Å, 90.00 90.00 90.00°
With the nearest neighbours (Å) after each atom.
Positions (direct):
1 Mg 0.0000 0.0000 0.0000  12 Be 2.81
2 Be 0.0000 0.5000 0.5000  2 Fe 1.99
3 Be 0.5000 0.0000 0.5000  2 Fe 1.99
4 Be 0.5000 0.5000 0.0000  2 Fe 1.99
5 Fe 0.5000 0.5000 0.5000  6 Be 1.99

Values from the calculation:
formation enthalpy at 0 K = 524 meV/atom
space-group type = No. 221
VASP energy = -33.5 eV per cell

2.
Below is H2RhPbF at its PBEsol-relaxed geometry, with properties calculated at the meta-GGA SCAN level.

Cell: 3.8137 3.8137 4.7995 Å, 90.00 90.00 90.00°
With the nearest neighbours (Å) after each atom.
Positions (direct):
1 H 0.0000 0.5000 0.0000  2 Pb 1.91
2 H 0.5000 0.0000 0.0000  2 Pb 1.91
3 Rh 0.0000 0.0000 0.5000  4 F 2.70
4 Pb 0.5000 0.5000 0.0000  4 H 1.91
5 F 0.5000 0.5000 0.5000  2 Pb 2.40

Values from the calculation:
space-group type = No. 123
VASP energy = -118.0 eV per cell

3.
Below is KMg2Sb at its PBEsol-relaxed geometry, with properties calculated at the meta-GGA SCAN level.

Cell: 5.7756 5.7756 5.7756 Å, 130.41 130.41 72.76°
With the nearest neighbours (Å) after each atom.
Positions (direct):
1 K 0.0000 0.0000 0.0000  8 Mg 3.36, 4 Sb 3.43
2 Mg 0.2500 0.7500 0.5000  4 Sb 3.36, 4 K 3.36, 4 Mg 3.43
3 Mg 0.7500 0.2500 0.5000  4 Sb 3.36, 4 K 3.36, 4 Mg 3.43
4 Sb 0.5000 0.5000 0.0000  8 Mg 3.36, 4 K 3.43

Values from the calculation:
space-group type = No. 139
raw formation energy = -0.04 eV/atom
VASP energy = -55.7 eV per cell

4.
Below is Mn2P5O16 at its PBEsol-relaxed geometry, with properties calculated at the meta-GGA SCAN level.

Cell: 4.9217 6.5974 18.8673 Å, 90.00 90.30 90.00°
With the nearest neighbours (Å) after each atom.
Positions (direct):
1 Mn 0.2494 0.1777 0.0934  6 O 1.85-1.99
2 Mn 0.2494 0.8223 0.5934  6 O 1.85-1.99
3 Mn 0.7506 0.1777 0.4066  6 O 1.85-1.99
4 Mn 0.7506 0.8223 0.9066  6 O 1.85-1.99
5 P 0.2372 0.4559 0.3687  4 O 1.51-1.60
6 P 0.2372 0.5441 0.8687  4 O 1.51-1.60
7 P 0.2592 0.1259 0.9244  4 O 1.51-1.63
8 P 0.2592 0.8741 0.4244  4 O 1.51-1.63
9 P 0.5000 0.2520 0.2500  4 O 1.50-1.60
10 P 0.5000 0.7480 0.7500  4 O 1.50-1.60
11 P 0.7408 0.1259 0.5756  4 O 1.51-1.63
12 P 0.7408 0.8741 0.0756  4 O 1.51-1.63
13 P 0.7628 0.4559 0.1313  4 O 1.51-1.60
14 P 0.7628 0.5441 0.6313  4 O 1.51-1.60
15 O 0.0611 0.4193 0.1168  1 P 1.51
16 O 0.0611 0.5807 0.6168  1 P 1.51
17 O 0.0714 0.0265 0.3882  1 P 1.52
18 O 0.0714 0.9735 0.8882  1 P 1.52
19 O 0.1553 0.2179 0.9926  1 P 1.51
20 O 0.1553 0.7821 0.4926  1 P 1.51
21 O 0.2797 0.3082 0.8666  2 P 1.57-1.63
22 O 0.2797 0.6918 0.3666  2 P 1.57-1.63
23 O 0.2928 0.4060 0.2871  2 P 1.60
24 O 0.2928 0.5940 0.7871  2 P 1.60
25 O 0.3530 0.1321 0.1944  1 P 1.50
26 O 0.3530 0.8679 0.6944  1 P 1.50
27 O 0.4368 0.3507 0.4169  1 P 1.51
28 O 0.4368 0.6493 0.9169  1 P 1.51
29 O 0.4460 0.0526 0.5703  1 P 1.53
30 O 0.4460 0.9474 0.0703  1 P 1.53
31 O 0.5540 0.0526 0.9297  1 P 1.53
32 O 0.5540 0.9474 0.4297  1 P 1.53
33 O 0.5632 0.3507 0.0831  1 P 1.51
34 O 0.5632 0.6493 0.5831  1 P 1.51
35 O 0.6470 0.1321 0.3056  1 P 1.50
36 O 0.6470 0.8679 0.8056  1 P 1.50
37 O 0.7072 0.4060 0.2129  2 P 1.60
38 O 0.7072 0.5940 0.7129  2 P 1.60
39 O 0.7203 0.3082 0.6334  2 P 1.57-1.63
40 O 0.7203 0.6918 0.1334  2 P 1.57-1.63
41 O 0.8447 0.2179 0.5074  1 P 1.51
42 O 0.8447 0.7821 0.0074  1 P 1.51
43 O 0.9286 0.0265 0.1118  1 P 1.52
44 O 0.9286 0.9735 0.6118  1 P 1.52
45 O 0.9389 0.4193 0.3832  1 P 1.51
46 O 0.9389 0.5807 0.8832  1 P 1.51

Values from the calculation:
space-group type = No. 13
raw formation energy = -2.32 eV/atom
VASP energy = -483.2 eV per cell

5.
Below is InSbPb at its PBEsol-relaxed geometry, with properties calculated at the meta-GGA SCAN level.

Cell: 5.4835 5.4835 3.1763 Å, 90.00 90.00 120.00°
With the nearest neighbours (Å) after each atom.
Positions (direct):
1 In 0.0000 0.0000 0.0000  2 In 3.18, 3 Sb 3.22, 3 Pb 3.49
2 Sb 0.6667 0.3333 0.8146  2 Sb 3.18, 3 In 3.22, 3 Pb 3.28
3 Pb 0.3333 0.6667 0.5393  2 Pb 3.18, 3 Sb 3.28, 3 In 3.49

Values from the calculation:
space-group type = No. 156
raw formation energy = 0.07 eV/atom
distance to the lowest polymorph of the same formula = 0 meV per atom
VASP energy = -146.2 eV per cell

6.
Below is SiHgCl2 at its PBEsol-relaxed geometry, with properties calculated at the meta-GGA SCAN level.

Cell: 2.9490 3.3274 9.0952 Å, 90.00 90.77 90.00°
With the nearest neighbours (Å) after each atom.
Positions (direct):
1 Si 0.0000 0.0000 0.0000  4 Cl 2.36
2 Hg 0.5000 0.0000 0.5000  2 Hg 2.95
3 Cl 0.0079 0.5000 0.1848  2 Si 2.36
4 Cl 0.9921 0.5000 0.8152  2 Si 2.36

Values from the calculation:
space-group type = No. 10
raw formation energy = -0.31 eV/atom
distance to the lowest polymorph of the same formula = 49 meV per atom
VASP energy = -95.4 eV per cell

7.
Below is Na2MgRhBr at its PBEsol-relaxed geometry, with properties calculated at the meta-GGA SCAN level.

Cell: 5.7456 5.7456 4.6110 Å, 90.00 90.00 90.00°
With the nearest neighbours (Å) after each atom.
Positions (direct):
1 Na 0.0000 0.5000 0.0000  2 Mg 2.87
2 Na 0.5000 0.0000 0.0000  2 Mg 2.87
3 Mg 0.0000 0.0000 0.0000  2 Rh 2.31
4 Rh 0.0000 0.0000 0.5000  2 Mg 2.31
5 Br 0.5000 0.5000 0.5000  8 Na 3.68, 4 Rh 4.06

Values from the calculation:
space-group type = No. 123
raw formation energy = 0.21 eV/atom
VASP energy = -65.6 eV per cell

8.
Below is TiTeCl3 at its PBEsol-relaxed geometry, with properties calculated at the meta-GGA SCAN level.

Cell: 4.8529 4.8529 4.8529 Å, 90.00 90.00 90.00°
With the nearest neighbours (Å) after each atom.
Positions (direct):
1 Ti 0.0000 0.0000 0.0000  6 Cl 2.43
2 Te 0.5000 0.5000 0.5000  12 Cl 3.43
3 Cl 0.0000 0.0000 0.5000  2 Ti 2.43
4 Cl 0.0000 0.5000 0.0000  2 Ti 2.43
5 Cl 0.5000 0.0000 0.0000  2 Ti 2.43

Values from the calculation:
space-group type = No. 221
raw formation energy = -0.83 eV/atom
VASP energy = -81.3 eV per cell

9.
Below is SrBr2N at its PBEsol-relaxed geometry, with properties calculated at the meta-GGA SCAN level.

Cell: 5.1904 5.1904 5.1904 Å, 60.00 60.00 60.00°
With the nearest neighbours (Å) after each atom.
Positions (direct):
1 Sr 0.0000 0.0000 0.0000  8 Br 3.18
2 Br 0.2500 0.2500 0.2500  4 Sr 3.18, 4 N 3.18
3 Br 0.7500 0.7500 0.7500  4 Sr 3.18, 4 N 3.18
4 N 0.5000 0.5000 0.5000  8 Br 3.18

Values from the calculation:
space-group type = No. 225
raw formation energy = -0.62 eV/atom
VASP energy = -73.0 eV per cell

10.
Below is SrNiH2W at its PBEsol-relaxed geometry, with properties calculated at the meta-GGA SCAN level.

Cell: 3.9461 3.9461 5.0898 Å, 90.00 90.00 90.00°
With the nearest neighbours (Å) after each atom.
Positions (direct):
1 Sr 0.0000 0.0000 0.0000  2 Ni 2.54, 4 W 2.79
2 Ni 0.0000 0.0000 0.5000  4 H 1.97
3 H 0.0000 0.5000 0.5000  2 Ni 1.97
4 H 0.5000 0.0000 0.5000  2 Ni 1.97
5 W 0.5000 0.5000 0.0000  4 Sr 2.79

Values from the calculation:
space-group type = No. 123
VASP energy = -105.2 eV per cell

11.
Below is RbHgSeN2 at its PBEsol-relaxed geometry, with properties calculated at the meta-GGA SCAN level.

Cell: 5.4470 5.4470 6.5829 Å, 90.00 90.00 90.00°
With the nearest neighbours (Å) after each atom.
Positions (direct):
1 Rb 0.0000 0.0000 0.0000  4 N 2.72
2 Hg 0.5000 0.5000 0.5000  4 Se 3.85, 8 N 4.27
3 Se 0.0000 0.0000 0.5000  2 Rb 3.29
4 N 0.0000 0.5000 0.0000  2 Rb 2.72
5 N 0.5000 0.0000 0.0000  2 Rb 2.72

Values from the calculation:
space-group type = No. 123
raw formation energy = 1.83 eV/atom
VASP energy = -118.4 eV per cell

12.
Below is LaBeNi2 at its PBEsol-relaxed geometry, with properties calculated at the meta-GGA SCAN level.

Cell: 4.3696 4.3696 3.1899 Å, 90.13 90.13 89.99°
With the nearest neighbours (Å) after each atom.
Positions (direct):
1 La 0.0000 0.0000 0.0000  8 Ni 2.70-2.71
2 Be 0.5000 0.5000 0.0000  8 Ni 2.70-2.71
3 Ni 0.0000 0.5000 0.5000  4 La 2.70-2.71, 4 Be 2.70-2.71
4 Ni 0.5000 0.0000 0.5000  4 La 2.70-2.71, 4 Be 2.70-2.71

Values from the calculation:
formation enthalpy at 0 K = 253 meV/atom
space-group type = No. 12
VASP energy = -78.8 eV per cell

> What is the VASP energy in the ninth record?

-73.0 eV per cell